VASP calculation (GGA-PBE) on a geometry-optimized TlReP3 structure.

It has space group Pm-3m (No. 221), with a = 4.873 Å, b = 4.873 Å, c = 4.873 Å, α = 90.00°, β = 90.00° and γ = 90.00°. The asymmetric unit holds Tl at (0.000, 0.000, 0.000), Re at (0.500, 0.500, 0.500) and P at (0.000, 0.000, 0.500).

The calculation puts the formation energy at 12.58 eV per formula unit. As for the uncorrected energy: -3.693 eV/atom. The spin magnetization comes out at 0.09 μB/cell. The calculation puts the energy above the most stable polymorph in this dataset at 2.0418 eV/atom.